No. 1
GdLuScHg | PBE | optimized geometry

Properties
SG = F-43m
V = 26.1 Å³ per atom
electronic total energy = -6.38 eV per atom
ΔE_f = -1.7 kcal/mol of atoms

Unit cell a=5.2866 b=5.2866 c=5.2866 alpha=60.00 beta=60.00 gamma=60.00
Each line ends with the local moment (μB).
Sites, in units of the cell vectors:
Hg (0.0000, 0.0000, 0.0000)  0.01
Gd (0.2500, 0.2500, 0.2500)  -7.17
Lu (0.7500, 0.7500, 0.7500)  -0.13
Sc (0.5000, 0.5000, 0.5000)  -0.24

=====

No. 2
MnZnB3 | PBE | optimized geometry

Properties
SG = Pm-3m
energy above the lowest structure with this stoichiometry = 0.0 meV/atom
V = 11.0 Å³ per atom
electronic total energy = -5.19 eV per atom
ΔE_f = 21.0 kcal/mol of atoms

Unit cell a=3.7994 b=3.7994 c=3.7994 alpha=90.00 beta=90.00 gamma=90.00
Sites, in units of the cell vectors:
B (0.0000, 0.5000, 0.0000)
B (0.0000, 0.0000, 0.5000)
B (0.5000, 0.0000, 0.0000)
Mn (0.0000, 0.0000, 0.0000)
Zn (0.5000, 0.5000, 0.5000)

=====

No. 3
CrSi3H | PBE | optimized geometry

Properties
SG = Pm-3m
energy above the lowest structure with this stoichiometry = 0.0 meV/atom
V = 11.7 Å³ per atom
electronic total energy = -5.38 eV per atom

Unit cell a=3.8834 b=3.8834 c=3.8834 alpha=90.00 beta=90.00 gamma=90.00
Each line ends with the local moment (μB).
Sites, in units of the cell vectors:
Si (0.0000, 0.0000, 0.5000)  -0.01
Si (0.5000, 0.0000, 0.0000)  -0.04
Si (0.0000, 0.5000, 0.0000)  -0.03
H (0.0000, 0.0000, 0.0000)  -0.01
Cr (0.5000, 0.5000, 0.5000)  2.87

=====

No. 4
ErThTcRh | PBE | optimized geometry

Properties
SG = F-43m
V = 21.1 Å³ per atom
electronic total energy = -7.88 eV per atom
ΔE_f = -10.5 kcal/mol of atoms

Unit cell a=4.9224 b=4.9224 c=4.9224 alpha=60.00 beta=60.00 gamma=60.00
Sites, in units of the cell vectors:
Rh (0.0000, 0.0000, 0.0000)
Tc (0.5000, 0.5000, 0.5000)
Er (0.2500, 0.2500, 0.2500)
Th (0.7500, 0.7500, 0.7500)

=====

No. 5
HfTlTe2 | PBE | optimized geometry

Properties
SG = P1
V = 31.0 Å³ per atom
electronic total energy = -5.25 eV per atom

Unit cell a=9.3676 b=9.3863 c=3.9658 alpha=89.14 beta=101.27 gamma=24.38
Sites, in units of the cell vectors:
Hf (0.8716, 0.1171, 0.9806)
Te (0.6672, 0.5174, 0.3725)
Te (0.0765, 0.7168, 0.5893)
Tl (0.1837, 0.2918, 0.1038)

=====

No. 6
SmGeSb2 | PBE | optimized geometry

Properties
SG = R-3m
energy above the lowest structure with this stoichiometry = 95.3 meV/atom
V = 28.7 Å³ per atom
electronic total energy = -4.71 eV per atom

Unit cell a=4.1714 b=4.1714 c=7.9925 alpha=74.87 beta=74.87 gamma=60.00
Sites, in units of the cell vectors:
Ge (0.0000, 0.0000, 0.0000)
Sb (0.2566, 0.2566, 0.2301)
Sb (0.7434, 0.7434, 0.7699)
Sm (0.5000, 0.5000, 0.5000)

=====

No. 7
CeErTmIn | PBE | optimized geometry

Properties
SG = F-43m
V = 27.1 Å³ per atom
electronic total energy = -4.48 eV per atom
ΔE_f = -1.3 kcal/mol of atoms

Unit cell a=5.3521 b=5.3521 c=5.3521 alpha=60.00 beta=60.00 gamma=60.00
Each line ends with the local moment (μB).
Sites, in units of the cell vectors:
Tm (0.5000, 0.5000, 0.5000)  0.04
In (0.2500, 0.2500, 0.2500)  -0.01
Er (0.0000, 0.0000, 0.0000)  0.04
Ce (0.7500, 0.7500, 0.7500)  0.14

=====

No. 8
SrIn4Sn | PBE | optimized geometry

Properties
SG = F-43m
energy above the lowest structure with this stoichiometry = 70.7 meV/atom
V = 29.2 Å³ per atom
electronic total energy = -2.93 eV per atom
ΔE_f = -3.5 kcal/mol of atoms

Unit cell a=6.2788 b=6.2788 c=6.2788 alpha=60.00 beta=60.00 gamma=60.00
Sites, in units of the cell vectors:
In (0.6253, 0.1240, 0.6253)
In (0.6253, 0.6253, 0.1240)
In (0.1240, 0.6253, 0.6253)
In (0.6253, 0.6253, 0.6253)
Sr (0.2500, 0.2500, 0.2500)
Sn (0.0000, 0.0000, 0.0000)

=====

No. 9
Te3MoWSe | PBE | optimized geometry

Properties
SG = P3m1
energy above the lowest structure with this stoichiometry = 18.6 meV/atom
V = 26.0 Å³ per atom
electronic total energy = -6.38 eV per atom

Unit cell a=3.4961 b=3.4961 c=29.4430 alpha=90.00 beta=90.00 gamma=120.00
Sites, in units of the cell vectors:
W (0.3333, 0.6667, 0.7480)
W (0.0000, 0.0000, 0.0090)
Mo (0.3333, 0.6667, 0.2524)
Mo (0.0000, 0.0000, 0.4936)
Te (0.3333, 0.6667, 0.9464)
Te (0.3333, 0.6667, 0.0716)
Te (0.3333, 0.6667, 0.4314)
Te (0.0000, 0.0000, 0.8105)
Te (0.3333, 0.6667, 0.5558)
Te (0.0000, 0.0000, 0.6854)
Se (0.0000, 0.0000, 0.3073)
Se (0.0000, 0.0000, 0.1974)

=====

No. 10
BeN2F2 | PBE | optimized geometry

Properties
SG = P4/mmm
energy above the lowest structure with this stoichiometry = 1598.2 meV/atom
V = 10.4 Å³ per atom
electronic total energy = -2.99 eV per atom

Unit cell a=3.3909 b=3.3909 c=4.5175 alpha=90.00 beta=90.00 gamma=90.00
Each line ends with the local moment (μB).
Sites, in units of the cell vectors:
F (0.0000, 0.0000, 0.0000)  0.01
F (0.0000, 0.0000, 0.5000)  0.01
N (0.5000, 0.0000, 0.0000)  0.23
N (0.0000, 0.5000, 0.0000)  0.23
Be (0.5000, 0.5000, 0.5000)  -0.03

=====

No. 11
Y5HoAg4 | PBE | optimized geometry

Properties
SG = P4/mmm
V = 25.8 Å³ per atom
electronic total energy = -5.08 eV per atom
ΔE_f = -5.8 kcal/mol of atoms

Unit cell a=3.6176 b=3.6176 c=19.7161 alpha=90.00 beta=90.00 gamma=90.00
Sites, in units of the cell vectors:
Y (0.5000, 0.5000, 0.5000)
Y (0.5000, 0.5000, 0.1253)
Y (0.5000, 0.5000, 0.8747)
Y (0.5000, 0.5000, 0.3122)
Y (0.5000, 0.5000, 0.6878)
Ag (0.0000, 0.0000, 0.2187)
Ag (0.0000, 0.0000, 0.7813)
Ag (0.0000, 0.0000, 0.4066)
Ag (0.0000, 0.0000, 0.5934)
Ho (0.0000, 0.0000, 0.0000)

=====

No. 12
LiCdRuPb | PBE | optimized geometry

Properties
SG = F-43m
V = 18.1 Å³ per atom
electronic total energy = -3.89 eV per atom
ΔE_f = 1.5 kcal/mol of atoms

Unit cell a=4.6761 b=4.6761 c=4.6761 alpha=60.00 beta=60.00 gamma=60.00
Sites, in units of the cell vectors:
Cd (0.5000, 0.5000, 0.5000)
Li (0.7500, 0.7500, 0.7500)
Pb (0.0000, 0.0000, 0.0000)
Ru (0.2500, 0.2500, 0.2500)

=====

No. 13
MnAl4Te | PBE | optimized geometry

Properties
SG = F-43m
V = 18.5 Å³ per atom
electronic total energy = -4.29 eV per atom

Unit cell a=5.3983 b=5.3983 c=5.3983 alpha=60.00 beta=60.00 gamma=60.00
Each line ends with the local moment (μB).
Sites, in units of the cell vectors:
Mn (0.7500, 0.7500, 0.7500)  3.71
Al (0.8713, 0.3762, 0.3762)  -0.02
Al (0.3762, 0.3762, 0.8713)  -0.02
Al (0.3762, 0.3762, 0.3762)  -0.02
Al (0.3762, 0.8713, 0.3762)  -0.02
Te (0.0000, 0.0000, 0.0000)  -0.01

=====

No. 14
BaNaSr14 | PBE | optimized geometry

Properties
SG = P4/mmm
V = 54.4 Å³ per atom
electronic total energy = -1.66 eV per atom
ΔE_f = 0.2 kcal/mol of atoms

Unit cell a=8.5708 b=8.5708 c=11.8483 alpha=90.00 beta=90.00 gamma=90.00
Sites, in units of the cell vectors:
Sr (0.8750, 0.3750, 0.5000)
Sr (0.1274, 0.1274, 0.2507)
Sr (0.6227, 0.6227, 0.7493)
Sr (0.6227, 0.6227, 0.2507)
Sr (0.3750, 0.8750, 0.5000)
Sr (0.3750, 0.3750, 0.0000)
Sr (0.8750, 0.3750, 0.0000)
Sr (0.3750, 0.8750, 0.0000)
Sr (0.6227, 0.1273, 0.2507)
Sr (0.1273, 0.6227, 0.2507)
Sr (0.1274, 0.1274, 0.7493)
Sr (0.6227, 0.1273, 0.7493)
Sr (0.1273, 0.6227, 0.7493)
Sr (0.8750, 0.8750, 0.0000)
Na (0.3750, 0.3750, 0.5000)
Ba (0.8750, 0.8750, 0.5000)

=====

No. 15
Dy2CuO4 | PBE | optimized geometry

Properties
SG = Cmce
V = 12.8 Å³ per atom
electronic total energy = -7.44 eV per atom

Unit cell a=6.5388 b=6.5388 c=5.4922 alpha=90.00 beta=90.00 gamma=130.30
Each line ends with the local moment (μB).
Sites, in units of the cell vectors:
Cu (0.5000, 0.5000, 0.5000)  0.07
Cu (0.0000, 0.0000, 0.0000)  0.07
O (0.0094, 0.5094, 0.2500)  0.00
O (0.4906, 0.9906, 0.7500)  0.00
O (0.7963, 0.7963, 0.7044)  0.02
O (0.9906, 0.4906, 0.7500)  0.00
O (0.2037, 0.2037, 0.2957)  0.02
O (0.2963, 0.2963, 0.7956)  0.02
O (0.5094, 0.0094, 0.2500)  0.00
O (0.7037, 0.7037, 0.2044)  0.02
Dy (0.6540, 0.3460, 0.0000)  0.00
Dy (0.3460, 0.6540, 0.0000)  0.00
Dy (0.8460, 0.1540, 0.5000)  0.00
Dy (0.1540, 0.8460, 0.5000)  0.00

=====

No. 16
ZnNi3 | PBE | optimized geometry

Properties
SG = Pm-3m
V = 11.5 Å³ per atom
electronic total energy = -4.76 eV per atom
ΔE_f = -2.5 kcal/mol of atoms

Unit cell a=3.5780 b=3.5780 c=3.5790 alpha=90.00 beta=90.00 gamma=90.00
Each line ends with the local moment (μB).
Sites, in units of the cell vectors:
Ni (0.0000, 0.0000, 0.0000)  0.41
Ni (0.5000, 0.0000, 0.5000)  0.35
Ni (0.0000, 0.5000, 0.5000)  0.47
Zn (0.5000, 0.5000, 0.0000)  -0.02

=====

No. 17
VHg2Pb | PBE | optimized geometry

Properties
SG = I-42d
V = 24.9 Å³ per atom
electronic total energy = -2.90 eV per atom
ΔE_f = 10.5 kcal/mol of atoms

Unit cell a=8.2767 b=8.2767 c=6.5366 alpha=50.72 beta=50.72 gamma=90.00
Each line ends with the local moment (μB).
Sites, in units of the cell vectors:
V (0.5000, 0.5000, 0.0000)  2.46
V (0.2500, 0.7500, 0.5000)  2.46
Pb (0.7500, 0.2500, 0.5000)  -0.06
Pb (0.0000, 0.0000, 0.0000)  -0.06
Hg (0.8750, 0.8348, 0.7500)  0.00
Hg (0.3750, 0.4152, 0.7500)  0.00
Hg (0.1652, 0.6250, 0.2500)  0.00
Hg (0.5848, 0.1250, 0.2500)  0.00

=====

No. 18
Sm3Tm2Cd6 | PBE | optimized geometry

Properties
SG = I4/mmm
V = 29.1 Å³ per atom
electronic total energy = -2.59 eV per atom
ΔE_f = 0.2 kcal/mol of atoms

Unit cell a=4.2228 b=4.2228 c=18.1745 alpha=96.67 beta=96.67 gamma=90.00
Sites, in units of the cell vectors:
Sm (0.8165, 0.8165, 0.6329)
Sm (0.1835, 0.1835, 0.3671)
Sm (0.0000, 0.0000, 0.0000)
Tm (0.6343, 0.6343, 0.2687)
Tm (0.3657, 0.3657, 0.7313)
Cd (0.7250, 0.7250, 0.4500)
Cd (0.9307, 0.4307, 0.8614)
Cd (0.2750, 0.2750, 0.5500)
Cd (0.0693, 0.5693, 0.1386)
Cd (0.4307, 0.9307, 0.8614)
Cd (0.5693, 0.0693, 0.1386)

=====

No. 19
Ac2EuRe | PBE | optimized geometry

Properties
SG = R-3m
V = 34.3 Å³ per atom
electronic total energy = -6.63 eV per atom
ΔE_f = 25.5 kcal/mol of atoms

Unit cell a=3.6186 b=3.6186 c=12.2900 alpha=81.53 beta=81.53 gamma=60.00
Each line ends with the local moment (μB).
Sites, in units of the cell vectors:
Ac (0.9260, 0.9260, 0.2221)  0.01
Ac (0.0740, 0.0740, 0.7779)  0.01
Eu (0.5000, 0.5000, 0.5000)  7.00
Re (0.0000, 0.0000, 0.0000)  0.00

=====

No. 20
CaSiSbI2 | PBE | optimized geometry

Properties
SG = P4/mmm
energy above the lowest structure with this stoichiometry = 439.2 meV/atom
V = 42.4 Å³ per atom
electronic total energy = -2.59 eV per atom

Unit cell a=5.7816 b=5.7816 c=6.3422 alpha=90.00 beta=90.00 gamma=90.00
Sites, in units of the cell vectors:
Ca (0.0000, 0.0000, 0.0000)
Si (0.5000, 0.5000, 0.5000)
I (0.0000, 0.5000, 0.0000)
I (0.5000, 0.0000, 0.0000)
Sb (0.0000, 0.0000, 0.5000)

=====

No. 21
Al5Zn2 | PBE | optimized geometry

Properties
SG = R-3m
energy above the lowest structure with this stoichiometry = 69.0 meV/atom
V = 16.7 Å³ per atom
electronic total energy = -2.92 eV per atom
ΔE_f = 2.7 kcal/mol of atoms

Unit cell a=4.5419 b=4.5419 c=7.0675 alpha=71.26 beta=71.26 gamma=60.00
Sites, in units of the cell vectors:
Al (0.9298, 0.9298, 0.2107)
Al (0.2095, 0.2095, 0.3715)
Al (0.7905, 0.7905, 0.6285)
Al (0.5000, 0.5000, 0.5000)
Al (0.0702, 0.0702, 0.7893)
Zn (0.3528, 0.3528, 0.9417)
Zn (0.6472, 0.6472, 0.0583)

=====

No. 22
TeOs2Br | PBE | optimized geometry

Properties
SG = R-3m
energy above the lowest structure with this stoichiometry = 783.0 meV/atom
V = 18.1 Å³ per atom
electronic total energy = -5.72 eV per atom

Unit cell a=8.3832 b=8.3832 c=8.3832 alpha=22.02 beta=22.02 gamma=22.02
Sites, in units of the cell vectors:
Os (0.5056, 0.5056, 0.5056)
Os (0.9944, 0.9944, 0.9944)
Br (0.7500, 0.7500, 0.7500)
Te (0.2500, 0.2500, 0.2500)

=====

No. 23
SrCd2NiPb | PBE | optimized geometry

Properties
SG = P4/mmm
V = 26.4 Å³ per atom
electronic total energy = -2.76 eV per atom
ΔE_f = -3.6 kcal/mol of atoms

Unit cell a=5.0953 b=5.0953 c=5.0890 alpha=90.00 beta=90.00 gamma=90.00
Sites, in units of the cell vectors:
Cd (0.0000, 0.5000, 0.0000)
Cd (0.5000, 0.0000, 0.0000)
Ni (0.0000, 0.0000, 0.0000)
Pb (0.0000, 0.0000, 0.5000)
Sr (0.5000, 0.5000, 0.5000)

=====

No. 24
Nd4AgTe | PBE | optimized geometry

Properties
SG = P2_1/m
V = 31.8 Å³ per atom
electronic total energy = -4.63 eV per atom

Unit cell a=7.1256 b=8.2348 c=6.5078 alpha=90.00 beta=90.00 gamma=87.42
Sites, in units of the cell vectors:
Nd (0.4239, 0.4366, 0.2500)
Nd (0.6173, 0.8686, 0.2500)
Nd (0.1216, 0.7723, 0.4996)
Nd (0.5761, 0.5634, 0.7500)
Nd (0.1216, 0.7723, 0.0004)
Nd (0.8784, 0.2277, 0.9996)
Nd (0.3827, 0.1314, 0.7500)
Nd (0.8784, 0.2277, 0.5004)
Ag (0.1498, 0.4511, 0.7500)
Ag (0.8502, 0.5489, 0.2500)
Te (0.7487, 0.9102, 0.7500)
Te (0.2513, 0.0898, 0.2500)

=====

No. 25
CePrZnIn | PBE | optimized geometry

Properties
SG = F-43m
V = 27.4 Å³ per atom
electronic total energy = -3.97 eV per atom
ΔE_f = -6.7 kcal/mol of atoms

Unit cell a=5.3728 b=5.3728 c=5.3728 alpha=60.00 beta=60.00 gamma=60.00
Each line ends with the local moment (μB).
Sites, in units of the cell vectors:
Ce (0.7500, 0.7500, 0.7500)  0.77
Pr (0.2500, 0.2500, 0.2500)  0.06
In (0.5000, 0.5000, 0.5000)  -0.01
Zn (0.0000, 0.0000, 0.0000)  0.01

=====

No. 26
CaHoIO6 | PBE | optimized geometry

Properties
SG = P-31c
V = 14.5 Å³ per atom
electronic total energy = -6.11 eV per atom

Unit cell a=5.5862 b=5.5862 c=9.6391 alpha=90.00 beta=90.00 gamma=120.00
Sites, in units of the cell vectors:
I (0.3333, 0.6667, 0.7500)
I (0.6667, 0.3333, 0.2500)
O (0.9522, 0.3399, 0.1386)
O (0.3399, 0.9522, 0.6386)
O (0.3399, 0.3877, 0.8614)
O (0.3877, 0.0478, 0.1386)
O (0.0478, 0.3877, 0.6386)
O (0.9522, 0.6123, 0.3614)
O (0.6123, 0.9522, 0.8614)
O (0.6601, 0.6123, 0.1386)
O (0.0478, 0.6601, 0.8614)
O (0.3877, 0.3399, 0.3614)
O (0.6123, 0.6601, 0.6386)
O (0.6601, 0.0478, 0.3614)
Ca (0.0000, 0.0000, 0.5000)
Ca (0.0000, 0.0000, 0.0000)
Ho (0.6667, 0.3333, 0.7500)
Ho (0.3333, 0.6667, 0.2500)